Here is an optimized crystal structure of CaV2O5 from Alexandria via LeMat-Bulk. Energies are from PBE+U.

energy relative to the lowest polymorph listed for this composition = 0.00 kcal/mol of atoms

Cell lengths 3.6095, 11.5739, 5.0793 Å; angles 90.00, 90.00, 90.00 degrees
Last column: nearest neighbours and their distance in Å.
Sites, in units of the cell vectors:
Ca  0.2500  0.2500  0.1469  8 O 2.34-2.57
Ca  0.7500  0.7500  0.8531  8 O 2.34-2.57
V  0.2500  0.5976  0.3953  1 O 1.69
V  0.2500  0.9024  0.3953  1 O 1.69
V  0.7500  0.0976  0.6047  1 O 1.69
V  0.7500  0.4024  0.6047  1 O 1.69
O  0.2500  0.0742  0.4573  3 V 1.97-2.01
O  0.2500  0.4258  0.4573  3 V 1.97-2.01
O  0.2500  0.6274  0.0698  1 V 1.69
O  0.2500  0.7500  0.5586  2 V 1.95
O  0.2500  0.8726  0.0698  1 V 1.69
O  0.7500  0.1274  0.9302  1 V 1.69
O  0.7500  0.2500  0.4414  2 V 1.95
O  0.7500  0.3726  0.9302  1 V 1.69
O  0.7500  0.5742  0.5427  3 V 1.97-2.01
O  0.7500  0.9258  0.5427  3 V 1.97-2.01